[1]
! HfTePI2 (PBE, relaxed); values from VASP
&SYSTEM
  ibrav = 0, nat = 5, ntyp = 4
/
ATOMIC_SPECIES
Hf 178.49 Hf.upf
Te 127.60 Te.upf
P 30.97 P.upf
I 126.90 I.upf
ATOMIC_POSITIONS angstrom
Hf 0.000 0.000 0.000
Te 0.000 0.000 2.769
P 2.891 2.891 2.769
I 0.000 2.891 0.000
I 2.891 0.000 0.000
CELL_PARAMETERS angstrom
5.781 0.000 0.000
0.000 5.781 0.000
0.000 0.000 5.538
! VASP energy   -4.0581 eV/atom
! Crystal system   tetragonal
! Magnetic moment   3.0 Bohr magnetons per cell
! ΔE to the lowest computed polymorph   0.000 eV/atom



[2]
! KMgCr (PBE, relaxed); values from VASP
&SYSTEM
  ibrav = 0, nat = 3, ntyp = 3
/
ATOMIC_SPECIES
K 39.10 K.upf
Mg 24.30 Mg.upf
Cr 52.00 Cr.upf
ATOMIC_POSITIONS angstrom
K 0.000 0.000 0.000
Mg 0.000 0.000 9.483
Cr 0.000 0.000 3.947
CELL_PARAMETERS angstrom
-1.892 1.892 6.628
1.892 -1.892 6.628
1.892 1.892 -6.628
! VASP energy   -3.3912 eV/atom
! Crystal system   tetragonal
! Magnetic moment   4.6 Bohr magnetons per cell
! Formation enthalpy at 0 K   0.714 eV per atom
! ΔE to the lowest computed polymorph   0.000 eV/atom



[3]
! La2SmTl3 (PBE, relaxed); values from VASP
&SYSTEM
  ibrav = 0, nat = 6, ntyp = 3
/
ATOMIC_SPECIES
La 138.91 La.upf
Sm 150.36 Sm.upf
Tl 204.38 Tl.upf
ATOMIC_POSITIONS angstrom
La 0.000 0.000 2.071
La 0.000 0.000 10.014
Sm 0.000 0.000 6.042
Tl 1.951 1.951 0.000
Tl 1.951 1.951 4.159
Tl 1.951 1.951 7.926
CELL_PARAMETERS angstrom
3.902 0.000 0.000
0.000 3.902 0.000
0.000 0.000 12.085
! VASP energy   -4.0240 eV/atom
! Crystal system   tetragonal
! Magnetic moment   0.0 Bohr magnetons per cell
! Formation enthalpy at 0 K   -0.412 eV per atom
! ΔE to the lowest computed polymorph   0.000 eV/atom



[4]
! LiAu4Se4Cl4O12 (PBE, relaxed); values from VASP
&SYSTEM
  ibrav = 0, nat = 25, ntyp = 5
/
ATOMIC_SPECIES
Li 6.94 Li.upf
Au 196.97 Au.upf
Se 78.96 Se.upf
Cl 35.45 Cl.upf
O 16.00 O.upf
ATOMIC_POSITIONS angstrom
Li 0.000 0.000 0.000
Au 3.343 6.827 9.783
Au 3.417 1.236 6.194
Au 3.435 3.419 2.055
Au 3.429 7.263 4.124
Se 0.274 6.391 1.174
Se 2.053 8.185 7.027
Se 2.553 4.323 5.139
Se 4.305 0.364 3.171
Cl 0.158 4.935 9.445
Cl 0.340 2.485 0.414
Cl 1.897 1.910 7.769
Cl 2.188 8.894 10.280
O 0.322 0.672 4.788
O 0.469 7.045 2.779
O 1.861 7.516 5.430
O 2.063 4.048 3.494
O 2.854 6.821 7.762
O 2.987 9.078 3.332
O 3.071 1.548 2.799
O 3.378 5.377 1.310
O 3.481 9.196 6.884
O 3.757 3.098 5.481
O 3.873 5.463 4.949
O 3.997 7.821 0.433
CELL_PARAMETERS angstrom
4.507 0.000 0.000
-0.020 9.880 0.000
-0.039 -0.891 11.362
! VASP energy   -4.3678 eV/atom
! Crystal system   triclinic
! Magnetic moment   0.4 Bohr magnetons per cell
! ΔE to the lowest computed polymorph   0.022 eV/atom



[5]
! Tl3Sb4Pb4 (PBE, relaxed); values from VASP
&SYSTEM
  ibrav = 0, nat = 11, ntyp = 3
/
ATOMIC_SPECIES
Tl 204.38 Tl.upf
Sb 121.76 Sb.upf
Pb 207.20 Pb.upf
ATOMIC_POSITIONS angstrom
Tl 0.000 0.000 0.000
Tl 1.681 0.000 12.504
Tl 0.000 2.906 4.737
Sb 1.681 0.000 6.288
Sb 0.000 0.000 15.735
Sb 0.000 0.000 18.748
Sb 0.000 2.906 10.953
Pb 1.681 0.000 3.090
Pb 0.000 0.000 9.350
Pb 0.000 0.000 25.133
Pb 0.000 2.906 14.152
CELL_PARAMETERS angstrom
-1.681 2.906 17.241
1.681 -2.906 17.241
1.681 2.906 -17.241
! VASP energy   -3.4555 eV/atom
! Crystal system   orthorhombic
! Magnetic moment   0.0 Bohr magnetons per cell



[6]
! CsMg5Tl7 (PBE, relaxed); values from VASP
&SYSTEM
  ibrav = 0, nat = 13, ntyp = 3
/
ATOMIC_SPECIES
Cs 132.91 Cs.upf
Mg 24.30 Mg.upf
Tl 204.38 Tl.upf
ATOMIC_POSITIONS angstrom
Cs 0.000 0.000 0.000
Mg 1.604 2.677 -2.646
Mg 4.758 2.677 -2.646
Mg 3.181 0.000 2.665
Mg -1.577 2.756 2.743
Mg 1.577 2.756 2.743
Tl 3.181 2.318 0.116
Tl 0.000 0.000 3.702
Tl 3.181 -1.656 5.370
Tl 0.000 0.000 6.978
Tl 3.181 1.656 5.370
Tl 0.000 5.433 2.995
Tl 0.000 3.114 5.506
CELL_PARAMETERS angstrom
-3.181 5.433 5.390
3.181 -5.433 5.390
3.181 5.433 -5.390
! VASP energy   -1.9789 eV/atom
! Crystal system   orthorhombic
! Magnetic moment   0.0 Bohr magnetons per cell
! Formation enthalpy at 0 K   -0.026 eV per atom